Entry 1:
{"formula": "NaCoCu3", "functional": "PBEsol", "state": "relaxed", "delta_e_f_ev_per_fu": 4.15, "total_magnetization_mub_per_cell": 1.75, "lattice_angstrom": [[4.429, 0.000, 0.000], [0.000, 4.429, 0.000], [0.000, 0.000, 4.429]], "species": ["Na", "Co", "Cu", "Cu", "Cu"], "fractional_positions": [[0.000, 0.000, 0.000], [0.500, 0.500, 0.500], [0.000, 0.500, 0.500], [0.500, 0.000, 0.500], [0.500, 0.500, 0.000]]}



Entry 2:
{"formula": "CoTcSe2", "functional": "PBEsol", "state": "relaxed", "final_energy_ev_per_cell": -27.7, "total_magnetization_mub_per_cell": 0.00, "lattice_angstrom": [[3.748, 0.000, 0.000], [0.000, 3.748, 0.000], [-0.017, 0.000, 5.575]], "species": ["Co", "Tc", "Se", "Se"], "fractional_positions": [[0.000, 0.000, 0.000], [0.500, 0.500, 0.000], [0.001, 0.500, 0.260], [0.499, 0.000, 0.740]]}